1.
Density functional theory data (GGA-PBE) for a relaxed structure of Ag2IrCSe.

POSCAR file:
```
Ag2IrCSe
1.0
-1.078 0.001 -4.866
-1.501 -4.317 0.332
-4.584 1.672 1.016
C Ir Se Ag
1 1 1 2
Cartesian
-3.582 -1.322 -1.759
-0.750 -2.159 0.166
0.000 0.000 0.000
-2.292 0.836 0.508
-0.539 0.000 -2.433
```

Formation energy (no corrections): 1987 meV per atom
E: -3.47 eV per atom

***

2.
Density functional theory data (GGA-PBE) for a relaxed structure of LaTb2Pm5Ho.

POSCAR file:
```
LaTb2Pm5Ho
1.0
5.721 0.000 0.000
-2.860 10.104 0.000
0.000 0.000 10.688
La Tb Pm Ho
2 4 10 2
Cartesian
2.860 1.700 10.186
0.000 8.405 4.842
2.860 7.771 8.754
0.000 2.295 7.833
0.000 2.333 3.410
2.860 7.809 2.489
0.000 7.784 0.244
2.860 4.435 8.703
0.000 9.713 7.915
0.000 5.995 7.556
2.860 9.760 5.595
2.860 2.320 5.588
0.000 5.669 3.359
2.860 0.391 2.571
2.860 4.110 2.212
0.000 0.344 0.251
2.860 6.062 5.462
0.000 4.042 0.118
```

Calculated formation energy: 0.15 eV/atom
E: -4.58 eV per atom

***

3.
Density functional theory data (GGA-PBE) for a relaxed structure of Er5ThAs6.

POSCAR file:
```
Er5ThAs6
1.0
-3.733 -3.917 -4.636
2.270 -2.908 6.096
-5.218 4.145 2.529
As Th Er
6 1 5
Cartesian
-2.710 -0.849 -0.802
-6.000 -2.171 1.163
-4.273 1.366 2.262
-2.407 -4.045 1.726
-0.680 -0.508 2.826
-3.970 -1.830 4.791
0.000 0.000 0.000
-5.348 -1.677 -1.595
-1.733 -3.581 -1.061
-3.340 -1.340 1.994
0.270 -3.244 2.520
-1.333 -1.002 5.583
```

Calculated formation energy: -1.51 eV/atom
E: -6.35 eV per atom

***

4.
Density functional theory data (GGA-PBE) for a relaxed structure of TcTeN2.

POSCAR file:
```
TcTeN2
1.0
5.967 0.000 0.000
0.000 5.967 0.000
2.984 2.984 4.222
Te Tc N
2 2 4
Cartesian
0.000 0.000 0.000
5.967 2.984 2.111
2.984 2.984 0.000
2.984 5.967 2.111
2.983 1.492 1.056
2.984 4.475 1.056
4.475 5.968 3.167
7.459 5.966 3.167
```

ΔE to the lowest computed polymorph: 6 meV/atom
Formation energy (no corrections): 539 meV per atom
E: -7.00 eV per atom

***

5.
Density functional theory data (GGA-PBE) for a relaxed structure of Nd2HoTh.

POSCAR file:
```
Nd2HoTh
1.0
3.634 0.000 0.000
1.817 3.147 0.000
1.817 1.049 11.708
Nd Ho Th
2 1 1
Cartesian
1.817 1.049 8.815
1.817 1.049 2.900
3.634 2.098 5.846
3.634 2.098 0.000
```

Calculated formation energy: 0.03 eV/atom
ΔE to the lowest computed polymorph: 0 meV/atom
E: -5.35 eV per atom

***

6.
Density functional theory data (GGA-PBE) for a relaxed structure of Y2OsCl.

POSCAR file:
```
Y2OsCl
1.0
5.231 0.002 0.003
0.060 5.230 0.003
0.549 0.543 3.191
Cl Os Y
1 1 2
Cartesian
2.890 0.273 1.597
0.305 2.887 1.597
0.000 0.000 0.000
2.645 2.616 0.003
```

ΔE to the lowest computed polymorph: 373 meV/atom
Formation energy (no corrections): -507 meV per atom
E: -7.01 eV per atom

***

7.
Density functional theory data (GGA-PBE) for a relaxed structure of LaCu2F.

POSCAR file:
```
LaCu2F
1.0
0.000 3.378 3.378
3.378 0.000 3.378
3.378 3.378 0.000
F Cu La
1 2 1
Cartesian
0.000 0.000 0.000
1.689 1.689 1.689
5.067 5.067 5.067
3.378 3.378 3.378
```

ΔE to the lowest computed polymorph: 595 meV/atom
Formation energy (no corrections): -423 meV per atom
E: -4.17 eV per atom

***

8.
Density functional theory data (GGA-PBE) for a relaxed structure of Ga2TeIr.

POSCAR file:
```
Ga2TeIr
1.0
-2.884 0.793 -5.260
-5.287 0.232 2.934
-3.521 6.292 -0.601
Ir Te Ga
2 2 4
Cartesian
0.000 0.000 0.000
-5.245 3.799 -3.512
-4.086 0.512 -1.163
-6.446 3.518 0.585
-3.497 2.140 -3.351
-4.391 1.775 1.306
-5.423 5.091 -1.479
-10.072 5.628 -2.329
```

Formation energy (no corrections): 91 meV per atom
E: -4.42 eV per atom

***

9.
Density functional theory data (GGA-PBE) for a relaxed structure of Sr6Li2Rh.

POSCAR file:
```
Sr6Li2Rh
1.0
-7.003 2.205 1.318
-3.037 -6.298 -5.602
-0.661 -7.349 8.621
Sr Li Rh
12 4 2
Cartesian
-1.069 -1.775 2.184
-2.325 -5.614 3.279
-2.806 -8.704 6.545
-5.225 -8.553 0.522
-5.507 -11.231 4.154
-4.448 -4.291 -0.321
-9.633 -9.668 2.154
-8.377 -5.829 1.059
-7.896 -2.738 -2.207
-5.477 -2.890 3.816
-5.195 -0.212 0.184
-6.254 -7.152 4.659
-2.866 -9.117 3.082
-3.806 -5.323 6.491
-6.896 -6.120 -2.153
-7.836 -2.326 1.256
-5.020 -2.047 -2.142
-0.331 -3.675 4.311
```

Calculated formation energy: -0.08 eV/atom
E: -2.45 eV per atom

***

10.
Density functional theory data (GGA-PBE) for a relaxed structure of Ho2ErMg3.

POSCAR file:
```
Ho2ErMg3
1.0
-0.356 3.638 -0.953
-3.423 0.084 1.596
4.650 3.026 9.811
Ho Er Mg
2 1 3
Cartesian
1.985 4.382 8.495
-1.113 2.366 1.959
0.436 3.374 5.227
0.000 0.000 0.000
3.096 2.015 6.533
1.554 1.011 3.278
```

Calculated formation energy: -0.07 eV/atom
E: -3.15 eV per atom

***

11.
Density functional theory data (GGA-PBE) for a relaxed structure of Ba3PuGa2O9.

POSCAR file:
```
Ba3PuGa2O9
1.0
-1.201 -1.963 -5.360
0.800 -3.773 4.377
-7.041 0.237 1.491
Ba Pu Ga O
3 1 2 9
Cartesian
-4.684 -3.007 2.151
0.000 0.000 0.000
-2.759 -2.491 -1.643
-3.520 0.119 0.746
-0.888 -3.135 1.347
-6.554 -2.363 -0.840
-5.568 -2.108 -2.729
-5.171 -3.980 -0.558
-4.971 -1.134 -0.070
-2.471 -4.364 0.577
-2.272 -1.518 1.065
-1.875 -3.390 3.237
-0.601 -0.982 -2.680
0.400 -1.886 2.188
-0.201 -2.868 -0.492
```

Formation energy (no corrections): -2448 meV per atom
E: -7.17 eV per atom

***

12.
Density functional theory data (GGA-PBE) for a relaxed structure of TaMo.

POSCAR file:
```
TaMo
1.0
-1.484 -0.655 3.848
2.323 -2.925 -1.868
4.299 2.124 2.019
Mo Ta
2 2
Cartesian
0.000 0.000 0.000
2.150 1.062 1.010
2.129 -1.637 0.542
3.010 0.181 3.457
```

Calculated formation energy: 0.82 eV/atom
E: -10.53 eV per atom

***

no.,total magnetic moment (μB/f.u.)
1,1.19
2,0.00
3,0.00
4,0.00
5,0.00
6,0.00
7,0.00
8,0.00
9,0.00
10,0.00
11,2.00
12,0.00